(w)
# Tb2PmAu2, relaxed, DFT PBE
data_Tb2PmAu2
_cell_length_a 8.270
_cell_length_b 8.270
_cell_length_c 3.821
_cell_angle_alpha 90.00
_cell_angle_beta 90.00
_cell_angle_gamma 90.00
_symmetry_space_group_name_H-M 'P 4/m b m'
_symmetry_Int_Tables_number 127
_symmetry_space_group_name_Hall '-P 4 2ab'
loop_
_atom_site_label
_atom_site_type_symbol
_atom_site_fract_x
_atom_site_fract_y
_atom_site_fract_z
Tb1 Tb 0.163 0.337 0.000
Pm1 Pm 0.000 0.000 0.500
Au1 Au 0.130 0.630 0.500
# Total moment: 0.0 Bohr magnetons per cell
# Volume: 261.3 Å³ per cell

(x)
# Tb2PmAu2, relaxed, DFT PBE
data_Tb2PmAu2
_cell_length_a 5.308
_cell_length_b 4.939
_cell_length_c 10.861
_cell_angle_alpha 90.00
_cell_angle_beta 96.55
_cell_angle_gamma 90.00
_symmetry_space_group_name_H-M 'P 1 21/m 1'
_symmetry_Int_Tables_number 11
loop_
_symmetry_equiv_pos_as_xyz
'x,y,z'
'-x,-y,-z'
'-x,y+1/2,-z'
'x,-y+1/2,z'
loop_
_atom_site_label
_atom_site_type_symbol
_atom_site_fract_x
_atom_site_fract_y
_atom_site_fract_z
Tb1 Tb 0.176 0.250 0.112
Tb2 Tb 0.253 0.750 0.508
Pm1 Pm 0.296 0.250 0.763
Au1 Au 0.218 0.250 0.373
Au2 Au 0.341 0.750 0.989
# Total moment: 0.0 Bohr magnetons per cell
# Volume: 282.8 Å³ per cell

How do the energies compare? Relative to the most stable structure, in eV/atom: (w) 0.000; (x) 0.081.

(w)
# TbPmZnAu, relaxed, DFT PBE
data_TbPmZnAu
_cell_length_a 3.659
_cell_length_b 3.659
_cell_length_c 7.176
_cell_angle_alpha 90.00
_cell_angle_beta 90.00
_cell_angle_gamma 90.00
_symmetry_space_group_name_H-M 'P 4 m m'
_symmetry_Int_Tables_number 99
loop_
_symmetry_equiv_pos_as_xyz
'x,y,z'
'-y,x,z'
'-x,-y,z'
'y,-x,z'
'-x,y,z'
'y,x,z'
'x,-y,z'
'-y,-x,z'
loop_
_atom_site_label
_atom_site_type_symbol
_atom_site_fract_x
_atom_site_fract_y
_atom_site_fract_z
Tb1 Tb 0.000 0.000 0.000
Pm1 Pm 0.000 0.000 0.505
Zn1 Zn 0.500 0.500 0.761
Au1 Au 0.500 0.500 0.236
# Total moment: 0.0 Bohr magnetons per cell
# Volume: 96.0 Å³ per cell

(x)
# TbPmZnAu, relaxed, DFT PBE
data_TbPmZnAu
_cell_length_a 7.287
_cell_length_b 7.287
_cell_length_c 7.287
_cell_angle_alpha 90.00
_cell_angle_beta 90.00
_cell_angle_gamma 90.00
_symmetry_space_group_name_H-M 'F -4 3 m'
_symmetry_Int_Tables_number 216
_symmetry_space_group_name_Hall 'F -4 2 3'
loop_
_atom_site_label
_atom_site_type_symbol
_atom_site_fract_x
_atom_site_fract_y
_atom_site_fract_z
Tb1 Tb 0.000 0.000 0.000
Pm1 Pm 0.000 0.000 0.500
Zn1 Zn 0.250 0.250 0.750
Au1 Au 0.250 0.250 0.250
# Total moment: 0.0 Bohr magnetons per cell
# Volume: 386.9 Å³ per cell

How do the energies compare? Relative to the most stable structure, in eV/atom: (w) 0.000; (x) 0.018.

(w)
# Pm2TeAu, relaxed, DFT PBE
data_Pm2TeAu
_cell_length_a 4.2746
_cell_length_b 4.2746
_cell_length_c 22.8215
_cell_angle_alpha 90.00
_cell_angle_beta 90.00
_cell_angle_gamma 120.00
_symmetry_space_group_name_H-M 'R -3 m'
_symmetry_Int_Tables_number 166
_symmetry_space_group_name_Hall '-R 3 2"'
loop_
_atom_site_label
_atom_site_type_symbol
_atom_site_fract_x
_atom_site_fract_y
_atom_site_fract_z
Pm1 Pm 0.0000 0.0000 0.2444
Te1 Te 0.0000 0.0000 0.0000
Au1 Au 0.0000 0.0000 0.5000
# Total moment: 0.0 Bohr magnetons per cell
# Volume: 361.2 Å³ per cell

(x)
# Pm2TeAu, relaxed, DFT PBE
data_Pm2TeAu
_cell_length_a 4.152
_cell_length_b 23.917
_cell_length_c 4.657
_cell_angle_alpha 90.00
_cell_angle_beta 90.00
_cell_angle_gamma 90.00
_symmetry_space_group_name_H-M 'C m c m'
_symmetry_Int_Tables_number 63
_symmetry_space_group_name_Hall '-C 2c 2'
loop_
_atom_site_label
_atom_site_type_symbol
_atom_site_fract_x
_atom_site_fract_y
_atom_site_fract_z
Pm1 Pm 0.000 0.061 0.250
Pm2 Pm 0.000 0.328 0.250
Te1 Te 0.000 0.193 0.250
Au1 Au 0.000 0.458 0.250
# Total moment: 0.0 Bohr magnetons per cell
# Volume: 462.5 Å³ per cell

(y)
# Pm2TeAu, relaxed, DFT PBE
data_Pm2TeAu
_cell_length_a 4.2575
_cell_length_b 4.2575
_cell_length_c 23.2155
_cell_angle_alpha 90.00
_cell_angle_beta 90.00
_cell_angle_gamma 120.00
_symmetry_space_group_name_H-M 'R 3 m'
_symmetry_Int_Tables_number 160
_symmetry_space_group_name_Hall 'R 3 -2"'
loop_
_atom_site_label
_atom_site_type_symbol
_atom_site_fract_x
_atom_site_fract_y
_atom_site_fract_z
Pm1 Pm 0.0000 0.0000 0.0000
Pm2 Pm 0.0000 0.0000 0.1816
Te1 Te 0.0000 0.0000 0.4231
Au1 Au 0.0000 0.0000 0.5918
# Total moment: 0.0 Bohr magnetons per cell
# Volume: 364.4 Å³ per cell

How do the energies compare? Relative to the most stable structure, in eV/atom: (w) 0.028; (x) 0.000; (y) 0.059.

(w)
# Pm2TeAu, relaxed, DFT PBE
data_Pm2TeAu
_cell_length_a 7.562
_cell_length_b 7.562
_cell_length_c 7.562
_cell_angle_alpha 90.00
_cell_angle_beta 90.00
_cell_angle_gamma 90.00
_symmetry_space_group_name_H-M 'F m -3 m'
_symmetry_Int_Tables_number 225
_symmetry_space_group_name_Hall '-F 4 2 3'
loop_
_atom_site_label
_atom_site_type_symbol
_atom_site_fract_x
_atom_site_fract_y
_atom_site_fract_z
Pm1 Pm 0.250 0.250 0.250
Te1 Te 0.000 0.000 0.000
Au1 Au 0.000 0.000 0.500
# Total moment: 5.6 Bohr magnetons per cell
# Volume: 432.4 Å³ per cell

(x)
# Pm2TeAu, relaxed, DFT PBE
data_Pm2TeAu
_cell_length_a 3.857
_cell_length_b 3.857
_cell_length_c 7.251
_cell_angle_alpha 90.00
_cell_angle_beta 90.00
_cell_angle_gamma 90.00
_symmetry_space_group_name_H-M 'P 4/m m m'
_symmetry_Int_Tables_number 123
_symmetry_space_group_name_Hall '-P 4 2'
loop_
_atom_site_label
_atom_site_type_symbol
_atom_site_fract_x
_atom_site_fract_y
_atom_site_fract_z
Pm1 Pm 0.000 0.000 0.243
Te1 Te 0.500 0.500 0.500
Au1 Au 0.500 0.500 0.000
# Total moment: 0.4 Bohr magnetons per cell
# Volume: 107.9 Å³ per cell

How do the energies compare? Relative to the most stable structure, in eV/atom: (w) 0.090; (x) 0.000.

(w)
# Pm2Te4Au, relaxed, DFT PBE
data_Pm2Te4Au
_cell_length_a 7.836
_cell_length_b 6.296
_cell_length_c 8.867
_cell_angle_alpha 90.00
_cell_angle_beta 105.91
_cell_angle_gamma 90.00
_symmetry_space_group_name_H-M 'P 1 21/m 1'
_symmetry_Int_Tables_number 11
loop_
_symmetry_equiv_pos_as_xyz
'x,y,z'
'-x,-y,-z'
'-x,y+1/2,-z'
'x,-y+1/2,z'
loop_
_atom_site_label
_atom_site_type_symbol
_atom_site_fract_x
_atom_site_fract_y
_atom_site_fract_z
Pm1 Pm 0.215 0.250 0.428
Pm2 Pm 0.262 0.250 0.941
Te1 Te 0.070 0.750 0.358
Te2 Te 0.081 0.750 0.924
Te3 Te 0.482 0.506 0.253
Au1 Au 0.204 0.750 0.670
# Total moment: 0.0 Bohr magnetons per cell
# Volume: 420.7 Å³ per cell

(x)
# Pm2Te4Au, relaxed, DFT PBE
data_Pm2Te4Au
_cell_length_a 7.491
_cell_length_b 6.282
_cell_length_c 9.585
_cell_angle_alpha 90.00
_cell_angle_beta 102.73
_cell_angle_gamma 90.00
_symmetry_space_group_name_H-M 'P 1 21/m 1'
_symmetry_Int_Tables_number 11
loop_
_symmetry_equiv_pos_as_xyz
'x,y,z'
'-x,-y,-z'
'-x,y+1/2,-z'
'x,-y+1/2,z'
loop_
_atom_site_label
_atom_site_type_symbol
_atom_site_fract_x
_atom_site_fract_y
_atom_site_fract_z
Pm1 Pm 0.195 0.250 0.380
Pm2 Pm 0.235 0.250 0.940
Te1 Te 0.035 0.750 0.376
Te2 Te 0.092 0.750 0.904
Te3 Te 0.460 0.509 0.214
Au1 Au 0.347 0.750 0.571
# Total moment: 0.0 Bohr magnetons per cell
# Volume: 440.0 Å³ per cell

How do the energies compare? Relative to the most stable structure, in eV/atom: (w) 0.000; (x) 0.013.

(w)
# PmTeAu2, relaxed, DFT PBE
data_PmTeAu2
_cell_length_a 7.280
_cell_length_b 7.280
_cell_length_c 7.280
_cell_angle_alpha 90.00
_cell_angle_beta 90.00
_cell_angle_gamma 90.00
_symmetry_space_group_name_H-M 'F m -3 m'
_symmetry_Int_Tables_number 225
_symmetry_space_group_name_Hall '-F 4 2 3'
loop_
_atom_site_label
_atom_site_type_symbol
_atom_site_fract_x
_atom_site_fract_y
_atom_site_fract_z
Pm1 Pm 0.000 0.000 0.000
Te1 Te 0.000 0.000 0.500
Au1 Au 0.250 0.250 0.250
# Total moment: 0.0 Bohr magnetons per cell
# Volume: 385.8 Å³ per cell

(x)
# PmTeAu2, relaxed, DFT PBE
data_PmTeAu2
_cell_length_a 4.7282
_cell_length_b 4.7282
_cell_length_c 15.5088
_cell_angle_alpha 90.00
_cell_angle_beta 90.00
_cell_angle_gamma 120.00
_symmetry_space_group_name_H-M 'R -3 m'
_symmetry_Int_Tables_number 166
_symmetry_space_group_name_Hall '-R 3 2"'
loop_
_atom_site_label
_atom_site_type_symbol
_atom_site_fract_x
_atom_site_fract_y
_atom_site_fract_z
Pm1 Pm 0.0000 0.0000 0.0000
Te1 Te 0.0000 0.0000 0.5000
Au1 Au 0.0000 0.0000 0.2408
# Total moment: 0.0 Bohr magnetons per cell
# Volume: 300.3 Å³ per cell

How do the energies compare? Relative to the most stable structure, in eV/atom: (w) 0.000; (x) 0.008.

(w)
# Pm2ThAu, relaxed, DFT PBE
data_Pm2ThAu
_cell_length_a 3.690
_cell_length_b 3.690
_cell_length_c 8.459
_cell_angle_alpha 90.00
_cell_angle_beta 90.00
_cell_angle_gamma 90.00
_symmetry_space_group_name_H-M 'P 4/m m m'
_symmetry_Int_Tables_number 123
_symmetry_space_group_name_Hall '-P 4 2'
loop_
_atom_site_label
_atom_site_type_symbol
_atom_site_fract_x
_atom_site_fract_y
_atom_site_fract_z
Pm1 Pm 0.000 0.000 0.216
Th1 Th 0.500 0.500 0.500
Au1 Au 0.500 0.500 0.000
# Total moment: 0.0 Bohr magnetons per cell
# Volume: 115.2 Å³ per cell

(x)
# Pm2ThAu, relaxed, DFT PBE
data_Pm2ThAu
_cell_length_a 5.591
_cell_length_b 5.591
_cell_length_c 3.623
_cell_angle_alpha 90.00
_cell_angle_beta 90.00
_cell_angle_gamma 90.00
_symmetry_space_group_name_H-M 'P 4/m m m'
_symmetry_Int_Tables_number 123
_symmetry_space_group_name_Hall '-P 4 2'
loop_
_atom_site_label
_atom_site_type_symbol
_atom_site_fract_x
_atom_site_fract_y
_atom_site_fract_z
Pm1 Pm 0.000 0.500 0.000
Th1 Th 0.000 0.000 0.500
Au1 Au 0.500 0.500 0.500
# Total moment: 0.0 Bohr magnetons per cell
# Volume: 113.3 Å³ per cell

How do the energies compare? Relative to the most stable structure, in eV/atom: (w) 0.000; (x) 0.197.

(w)
# Pm2ThAu, relaxed, DFT PBE
data_Pm2ThAu
_cell_length_a 3.7064
_cell_length_b 3.7064
_cell_length_c 30.9218
_cell_angle_alpha 90.00
_cell_angle_beta 90.00
_cell_angle_gamma 120.00
_symmetry_space_group_name_H-M 'R 3 m'
_symmetry_Int_Tables_number 160
_symmetry_space_group_name_Hall 'R 3 -2"'
loop_
_atom_site_label
_atom_site_type_symbol
_atom_site_fract_x
_atom_site_fract_y
_atom_site_fract_z
Pm1 Pm 0.0000 0.0000 0.0000
Pm2 Pm 0.0000 0.0000 0.1907
Th1 Th 0.0000 0.0000 0.7618
Au1 Au 0.0000 0.0000 0.5954
# Total moment: 0.0 Bohr magnetons per cell
# Volume: 367.9 Å³ per cell

(x)
# Pm2ThAu, relaxed, DFT PBE
data_Pm2ThAu
_cell_length_a 3.6871
_cell_length_b 3.6871
_cell_length_c 30.7369
_cell_angle_alpha 90.00
_cell_angle_beta 90.00
_cell_angle_gamma 120.00
_symmetry_space_group_name_H-M 'R -3 m'
_symmetry_Int_Tables_number 166
_symmetry_space_group_name_Hall '-R 3 2"'
loop_
_atom_site_label
_atom_site_type_symbol
_atom_site_fract_x
_atom_site_fract_y
_atom_site_fract_z
Pm1 Pm 0.0000 0.0000 0.2395
Th1 Th 0.0000 0.0000 0.0000
Au1 Au 0.0000 0.0000 0.5000
# Total moment: 0.0 Bohr magnetons per cell
# Volume: 361.9 Å³ per cell

How do the energies compare? Relative to the most stable structure, in eV/atom: (w) 0.035; (x) 0.000.